DFT (PBE) results for Tm5Al2Cd after structural relaxation.

abc: 9.0502 9.0502 9.0502
angles: 130.15 130.15 73.17
With the nearest neighbours (Å) after each atom.
Positions (direct):
Tm  0.0000  0.0000  0.0000  4 Al 3.03
Tm  0.0212  0.5212  0.8358  3 Al 3.10-3.11, 2 Cd 3.21
Tm  0.1853  0.0212  0.5000  3 Al 3.10-3.11, 2 Cd 3.21
Tm  0.3147  0.8147  0.8358  3 Al 3.10-3.11, 2 Cd 3.21
Tm  0.4788  0.3147  0.5000  3 Al 3.10-3.11, 2 Cd 3.21
Tm  0.5000  0.5000  0.0000  4 Al 3.03
Tm  0.5212  0.6853  0.5000  3 Al 3.10-3.11, 2 Cd 3.21
Tm  0.6853  0.1853  0.1642  3 Al 3.10-3.11, 2 Cd 3.21
Tm  0.8147  0.9788  0.5000  3 Al 3.10-3.11, 2 Cd 3.21
Tm  0.9788  0.4788  0.1642  3 Al 3.10-3.11, 2 Cd 3.21
Al  0.1227  0.3773  0.5000  1 Al 2.65
Al  0.3773  0.8773  0.2547  1 Al 2.65
Al  0.6227  0.1227  0.7453  1 Al 2.65
Al  0.8773  0.6227  0.5000  1 Al 2.65
Cd  0.2500  0.2500  0.0000  8 Tm 3.21
Cd  0.7500  0.7500  0.0000  8 Tm 3.21

Values from the calculation:
ΔE to the lowest computed polymorph ... 0.0 meV per atom
Calculated density ... 7940 kg/m³
Total magnetization ... 0.00 μB/atom
E_form ... -2.088 eV per formula unit
Space group ... I4/mcm